(1)
## ScZnIr2 (PBE)

Data for ScZnIr2 after structural relaxation.

Computed properties:
Its symmetry is Immm. The total magnetization is 0.00 μB per cell.

Geometry as POSCAR:
```
ScZnIr2
1.0
-3.141 3.134 -3.780
2.223 -5.386 -0.149
0.479 -3.518 4.622
Ir Zn Sc
2 1 1
direct
0.000 0.730 0.730 Ir
0.000 0.270 0.270 Ir
0.000 0.500 0.500 Zn
0.000 0.000 0.000 Sc
```


(2)
## Zr2ScZnIr4 (PBE)

Data for Zr2ScZnIr4 after structural relaxation.

Computed properties:
Its symmetry is R-3m. The total magnetization is 0.00 μB per cell.

Geometry as POSCAR:
```
Zr2ScZnIr4
1.0
-3.270 -2.432 -2.068
0.579 -1.409 -4.309
2.228 -7.595 0.360
Ir Zr Sc Zn
4 2 1 1
direct
0.123 0.123 0.632 Ir
0.374 0.374 0.879 Ir
0.626 0.626 0.121 Ir
0.877 0.877 0.368 Ir
0.246 0.246 0.263 Zr
0.754 0.754 0.737 Zr
0.000 0.000 0.000 Sc
0.500 0.500 0.500 Zn
```


(3)
## Zr2ScIr2 (PBE)

Data for Zr2ScIr2 after structural relaxation.

Computed properties:
Its symmetry is P2_1/m. The total magnetization is 0.00 μB per cell. The calculation puts the energy relative to the lowest polymorph listed for this composition at 0.000 eV/atom.

Geometry as POSCAR:
```
Zr2ScIr2
1.0
3.389 0.000 -0.454
0.000 4.632 0.000
-0.143 0.000 11.822
Ir Zr Sc
4 4 2
direct
0.355 0.250 0.710 Ir
0.645 0.750 0.290 Ir
0.452 0.750 0.906 Ir
0.548 0.250 0.094 Ir
0.950 0.250 0.900 Zr
0.050 0.750 0.100 Zr
0.242 0.750 0.486 Zr
0.758 0.250 0.514 Zr
0.855 0.750 0.712 Sc
0.145 0.250 0.288 Sc
```


(4)
## ZrScIr2 (PBE)

Data for ZrScIr2 after structural relaxation.

Computed properties:
Its symmetry is F-43m. The total magnetization is 0.00 μB per cell.

Geometry as POSCAR:
```
ZrScIr2
1.0
4.591 0.000 0.000
2.296 3.976 0.000
2.296 1.325 3.749
Sc Zr Ir
1 1 2
direct
0.500 0.500 0.500 Sc
0.750 0.750 0.750 Zr
0.250 0.250 0.250 Ir
0.000 0.000 0.000 Ir
```


| no. | E_form (eV per atom) |
| --- | --- |
| 1 | 0.139 |
| 2 | -0.764 |
| 3 | -0.733 |
| 4 | -0.432 |